VASP calculation (PBE) on a relaxed CdSiRhSe2 crystal.

abc: 4.882 5.046 4.882
angles: 90.00 90.00 90.00
Element x y z (fractional)
Se 0.500 0.000 0.000
Se 0.000 0.000 0.500
Si 0.500 0.500 0.500
Rh 0.000 0.000 0.000
Cd 0.000 0.500 0.000

Output
As for the density of states at the Fermi level: 5.00 states/eV/f.u. The calculation puts the total magnetization at 0.00 μB per formula unit. For the uncorrected formation energy, the calculation gives 2.719 eV per formula unit.

VASP calculation (PBE) on a relaxed Si2SnTe crystal.

abc: 5.856 5.856 8.091
angles: 68.78 68.78 90.00
Element x y z (fractional)
Si 0.875 0.864 0.750
Si 0.136 0.625 0.250
Si 0.375 0.386 0.750
Si 0.614 0.125 0.250
Sn 0.500 0.500 0.000
Sn 0.250 0.750 0.500
Te 0.750 0.250 0.500
Te 0.000 0.000 0.000

Output
As for the density of states at the Fermi level: 3.32 states/eV/f.u. The calculation puts the total magnetization at 0.00 μB per formula unit. The polymorph energy (0 for the lowest one) comes out at 0.0000 eV/atom. For the uncorrected formation energy, the calculation gives 1.910 eV per formula unit.

VASP calculation (PBE) on a relaxed Zn2PBr crystal.

abc: 4.735 4.735 4.735
angles: 60.00 60.00 60.00
Element x y z (fractional)
Zn 0.750 0.750 0.750
Zn 0.250 0.250 0.250
P 0.000 0.000 0.000
Br 0.500 0.500 0.500

Output
As for the density of states at the Fermi level: 1.76 states/eV/f.u. The calculation puts the total magnetization at 0.00 μB per formula unit. The polymorph energy (0 for the lowest one) comes out at 0.8602 eV/atom. For the uncorrected formation energy, the calculation gives 1.626 eV per formula unit.

VASP calculation (PBE) on a relaxed PmNd3Pu2Se6 crystal.

abc: 7.253 7.253 7.295
angles: 99.53 99.53 120.03
Element x y z (fractional)
Se 0.418 0.081 0.244
Se 0.919 0.582 0.756
Se 0.744 0.744 0.244
Se 0.582 0.919 0.756
Se 0.081 0.418 0.244
Se 0.256 0.256 0.756
Pu 0.333 0.667 0.000
Pu 0.667 0.333 0.000
Nd 0.835 0.165 0.500
Nd 0.165 0.835 0.500
Nd 0.500 0.500 0.500
Pm 0.000 0.000 0.000

Output
As for the density of states at the Fermi level: 20.00 states/eV/f.u. The calculation puts the total magnetization at 11.53 μB per formula unit. For the uncorrected formation energy, the calculation gives -21.033 eV per formula unit.

VASP calculation (PBE) on a relaxed ZrMoP2 crystal.

abc: 6.310 6.310 6.310
angles: 149.87 148.36 44.25
Element x y z (fractional)
Mo 0.206 0.706 0.500
Zr 0.458 0.458 0.000
P 0.050 0.050 0.000
P 0.786 0.286 0.500

Output
As for the density of states at the Fermi level: 1.02 states/eV/f.u. The energy relative to the elements comes out at -0.929 eV per atom. The calculation puts the total magnetization at 0.00 μB per formula unit. The polymorph energy (0 for the lowest one) comes out at 0.0000 eV/atom.

VASP calculation (PBE) on a relaxed Tm2NiRu3 crystal.

abc: 5.226 5.226 5.253
angles: 89.98 119.88 119.96
Element x y z (fractional)
Ru 0.500 0.500 0.500
Ru 0.500 0.000 0.500
Ru 0.000 0.000 0.500
Ni 0.000 0.000 0.000
Tm 0.754 0.377 0.131
Tm 0.246 0.623 0.869

Output
As for the density of states at the Fermi level: 3.33 states/eV/f.u. The energy relative to the elements comes out at -0.409 eV per atom. The calculation puts the total magnetization at 0.00 μB per formula unit.

> What is the total magnetization in the fifth record?

0.00 μB per formula unit